#P
Entry from the Alexandria database: an optimized crystal structure of Y2PRu (GGA-PBE).

Cell and atoms, written as POSCAR:
```
Y2PRu
1.0
3.199 0.000 0.000
0.000 3.199 0.000
0.000 0.000 8.181
Y P Ru
2 1 1
Direct
0.000 0.000 0.000 Y
0.500 0.500 0.368 Y
0.000 0.000 0.615 P
0.500 0.500 0.743 Ru
```

Calculated values
* symmetry: P4mm, No. 99

#Q
Entry from the Alexandria database: an optimized crystal structure of Y2PRu (GGA-PBE).

Cell and atoms, written as POSCAR:
```
Y2PRu
1.0
4.764 0.000 0.000
0.000 4.764 0.000
0.000 0.000 3.581
Y P Ru
2 1 1
Direct
0.000 0.500 0.000 Y
0.500 0.000 0.000 Y
0.000 0.000 0.500 P
0.500 0.500 0.500 Ru
```

Calculated values
* symmetry: P4/mmm, No. 123

The most stable arrangement is #Q, and the next structure is 0.269 eV/atom less stable.

#P
Entry from the Alexandria database: an optimized crystal structure of Y2PRu (GGA-PBE).

Cell and atoms, written as POSCAR:
```
Y2PRu
1.0
0.000 3.441 3.441
3.441 0.000 3.441
3.441 3.441 0.000
Y P Ru
2 1 1
Direct
0.250 0.250 0.250 Y
0.750 0.750 0.750 Y
0.000 0.000 0.000 P
0.500 0.500 0.500 Ru
```

Calculated values
* symmetry: Fm-3m, No. 225

#Q
Entry from the Alexandria database: an optimized crystal structure of Y2PRu (GGA-PBE).

Cell and atoms, written as POSCAR:
```
Y2PRu
1.0
-3.683 3.683 3.312
3.683 -3.683 3.312
3.683 3.683 -3.312
Y P Ru
4 2 2
Direct
0.120 0.125 0.495 Y
0.375 0.880 0.005 Y
0.630 0.625 0.505 Y
0.875 0.370 0.995 Y
0.250 0.750 0.500 P
0.500 0.500 0.000 P
0.000 0.000 0.000 Ru
0.750 0.250 0.500 Ru
```

Calculated values
* symmetry: I-42d, No. 122

#R
Entry from the Alexandria database: an optimized crystal structure of Y2PRu (GGA-PBE).

Cell and atoms, written as POSCAR:
```
Y2PRu
1.0
3.534 0.000 0.000
0.000 3.534 0.000
0.000 0.000 6.507
Y P Ru
2 1 1
Direct
0.000 0.000 0.245 Y
0.000 0.000 0.755 Y
0.500 0.500 0.000 P
0.500 0.500 0.500 Ru
```

Calculated values
* symmetry: P4/mmm, No. 123

The most stable arrangement is #R, and the next structure is 0.165 eV/atom less stable.

#P
Entry from the Alexandria database: an optimized crystal structure of ZnPRu3 (GGA-PBE).

Cell and atoms, written as POSCAR:
```
ZnPRu3
1.0
4.332 0.000 0.000
0.000 4.332 0.000
0.000 0.000 4.332
Zn P Ru
1 1 3
Direct
0.000 0.000 0.000 Zn
0.500 0.500 0.500 P
0.000 0.500 0.500 Ru
0.500 0.000 0.500 Ru
0.500 0.500 0.000 Ru
```

Calculated values
* symmetry: Pm-3m, No. 221

#Q
Entry from the Alexandria database: an optimized crystal structure of ZnPRu3 (GGA-PBE).

Cell and atoms, written as POSCAR:
```
ZnPRu3
1.0
4.469 0.000 0.000
0.000 4.469 0.000
0.000 0.000 4.469
Zn P Ru
1 1 3
Direct
0.000 0.000 0.000 Zn
0.500 0.500 0.500 P
0.000 0.000 0.500 Ru
0.000 0.500 0.000 Ru
0.500 0.000 0.000 Ru
```

Calculated values
* symmetry: Pm-3m, No. 221

The most stable arrangement is #P, and the next structure is 1.443 eV/atom less stable.

#P
Entry from the Alexandria database: an optimized crystal structure of Zn3PRu (GGA-PBE).

Cell and atoms, written as POSCAR:
```
Zn3PRu
1.0
4.754 0.000 0.000
0.000 4.754 0.000
0.000 0.000 4.754
Zn P Ru
3 1 1
Direct
0.000 0.000 0.500 Zn
0.000 0.500 0.000 Zn
0.500 0.000 0.000 Zn
0.500 0.500 0.500 P
0.000 0.000 0.000 Ru
```

Calculated values
* symmetry: Pm-3m, No. 221

#Q
Entry from the Alexandria database: an optimized crystal structure of Zn3PRu (GGA-PBE).

Cell and atoms, written as POSCAR:
```
Zn3PRu
1.0
4.500 0.000 0.000
0.000 4.500 0.000
0.000 0.000 4.500
Zn P Ru
3 1 1
Direct
0.000 0.000 0.500 Zn
0.000 0.500 0.000 Zn
0.500 0.000 0.000 Zn
0.000 0.000 0.000 P
0.500 0.500 0.500 Ru
```

Calculated values
* symmetry: Pm-3m, No. 221

The most stable arrangement is #Q, and the next structure is 0.027 eV/atom less stable.